(1)
Density functional theory data (PBE) for crystalline K2LiSb at its relaxed geometry.

Structure (POSCAR):
```
K2LiSb
1.0
0.000 4.130 4.130
4.130 0.000 4.130
4.130 4.130 0.000
K Li Sb
2 1 1
Direct
0.250 0.250 0.250
0.750 0.750 0.750
0.000 0.000 0.000
0.500 0.500 0.500
```

The calculation puts the density of states at the Fermi level at 0.00 states/eV/atom. The value obtained for the spin magnetization is 0.000 μB/atom. As for the relative energy among the computed polymorphs: 261 meV/atom. The value obtained for the density is 2.44 Mg/m³. As for the uncorrected formation energy: -0.2180 eV per atom.


(2)
Density functional theory data (PBE) for crystalline ScSeI2 at its relaxed geometry.

Structure (POSCAR):
```
ScSeI2
1.0
-5.346 5.346 2.593
5.346 -5.346 2.593
5.346 5.346 -2.593
Sc Se I
2 2 4
Direct
0.000 0.000 0.000
0.750 0.250 0.500
0.250 0.750 0.500
0.500 0.500 0.000
0.375 0.222 0.347
0.778 0.125 0.153
0.875 0.028 0.653
0.972 0.625 0.847
```

The calculation puts the density of states at the Fermi level at 1.73 states/eV/atom. The value obtained for the spin magnetization is 0.000 μB/atom. As for the relative energy among the computed polymorphs: 0 meV/atom. The value obtained for the density is 4.23 Mg/m³. As for the uncorrected formation energy: -0.8238 eV per atom.


(3)
Density functional theory data (PBE) for crystalline RbCrPt3 at its relaxed geometry.

Structure (POSCAR):
```
RbCrPt3
1.0
4.769 0.000 0.000
0.000 4.769 0.000
0.000 0.000 4.769
Rb Cr Pt
1 1 3
Direct
0.000 0.000 0.000
0.500 0.500 0.500
0.000 0.500 0.500
0.500 0.000 0.500
0.500 0.500 0.000
```

The calculation puts the density of states at the Fermi level at 1.15 states/eV/atom. The value obtained for the spin magnetization is 0.000 μB/atom. As for the relative energy among the computed polymorphs: 0 meV/atom. For the formation energy, the calculation gives 3.07 eV/f.u. The value obtained for the density is 11.06 Mg/m³.


(4)
Density functional theory data (PBE) for crystalline Ce2MgS4 at its relaxed geometry.

Structure (POSCAR):
```
Ce2MgS4
1.0
13.966 0.000 0.000
0.000 8.269 0.000
0.000 0.000 6.641
Ce Mg S
8 4 16
Direct
0.000 0.000 0.000
0.000 0.500 0.000
0.229 0.250 0.488
0.271 0.750 0.988
0.500 0.000 0.500
0.500 0.500 0.500
0.729 0.250 0.012
0.771 0.750 0.512
0.097 0.750 0.417
0.403 0.250 0.917
0.597 0.750 0.083
0.903 0.250 0.583
0.065 0.250 0.741
0.091 0.750 0.781
0.170 0.518 0.239
0.170 0.982 0.239
0.330 0.018 0.739
0.330 0.482 0.739
0.409 0.250 0.281
0.435 0.750 0.241
0.565 0.250 0.759
0.591 0.750 0.719
0.670 0.518 0.261
0.670 0.982 0.261
0.830 0.018 0.761
0.830 0.482 0.761
0.909 0.250 0.219
0.935 0.750 0.259
```

The calculation puts the density of states at the Fermi level at 1.82 states/eV/atom. The value obtained for the spin magnetization is 0.286 μB/atom. As for the relative energy among the computed polymorphs: 0 meV/atom. The value obtained for the density is 3.75 Mg/m³. As for the uncorrected formation energy: -1.7670 eV per atom.


Which of these has the highest spin magnetization? Ce2MgS4


Look up the spin magnetization of the third one. 0.000 μB/atom


Among the records above, which one has the highest relative energy among the computed polymorphs? K2LiSb


Which value of relative energy among the computed polymorphs does entry 1 give? 261 meV/atom